1.
{"formula": "CaGa2Te2", "functional": "PBE-GGA", "state": "optimized geometry", "final_energy_ev_per_atom": -3.401, "crystal_system": "tetragonal", "e_form_raw_mev_per_atom": -533, "cell": [[-2.0430, 2.0430, 8.3694], [2.0430, -2.0430, 8.3694], [2.0430, 2.0430, -8.3694]], "species": ["Ca", "Ga", "Ga", "Te", "Te"], "fractional_positions": [[0.0000, 0.0000, 0.0000], [0.2500, 0.7500, 0.5000], [0.7500, 0.2500, 0.5000], [0.4013, 0.4013, 0.0000], [0.5987, 0.5987, 0.0000]]}

2.
{"formula": "CaGaTe2", "functional": "PBE-GGA", "state": "optimized geometry", "final_energy_ev_per_atom": -3.553, "crystal_system": "tetragonal", "e_form_raw_mev_per_atom": -725, "cell": [[-3.3546, 3.3546, 7.1248], [3.3546, -3.3546, 7.1248], [3.3546, 3.3546, -7.1248]], "species": ["Ca", "Ca", "Ga", "Ga", "Te", "Te", "Te", "Te"], "fractional_positions": [[0.0000, 0.0000, 0.0000], [0.7500, 0.2500, 0.5000], [0.2500, 0.7500, 0.5000], [0.5000, 0.5000, 0.0000], [0.1598, 0.6250, 0.0348], [0.3750, 0.4098, 0.5348], [0.5902, 0.1250, 0.9652], [0.8750, 0.8402, 0.4652]]}

3.
{"formula": "Ca3Ga5Te12", "functional": "PBE-GGA", "state": "optimized geometry", "final_energy_ev_per_atom": -3.463, "crystal_system": "cubic", "e_form_raw_mev_per_atom": -522, "cell": [[-8.6669, 8.6669, 8.6669], [8.6669, -8.6669, 8.6669], [8.6669, 8.6669, -8.6669]], "species": ["Ca", "Ca", "Ca", "Ca", "Ca", "Ca", "Ca", "Ca", "Ca", "Ca", "Ca", "Ca", "Ga", "Ga", "Ga", "Ga", "Ga", "Ga", "Ga", "Ga", "Ga", "Ga", "Ga", "Ga", "Ga", "Ga", "Ga", "Ga", "Ga", "Ga", "Ga", "Ga", "Te", "Te", "Te", "Te", "Te", "Te", "Te", "Te", "Te", "Te", "Te", "Te", "Te", "Te", "Te", "Te", "Te", "Te", "Te", "Te", "Te", "Te", "Te", "Te", "Te", "Te", "Te", "Te", "Te", "Te", "Te", "Te", "Te", "Te", "Te", "Te", "Te", "Te", "Te", "Te", "Te", "Te", "Te", "Te", "Te", "Te", "Te", "Te"], "fractional_positions": [[0.1250, 0.2500, 0.3750], [0.1250, 0.3750, 0.7500], [0.2500, 0.3750, 0.1250], [0.2500, 0.8750, 0.6250], [0.3750, 0.1250, 0.2500], [0.3750, 0.7500, 0.1250], [0.6250, 0.2500, 0.8750], [0.6250, 0.8750, 0.7500], [0.7500, 0.1250, 0.3750], [0.7500, 0.6250, 0.8750], [0.8750, 0.6250, 0.2500], [0.8750, 0.7500, 0.6250], [0.0000, 0.0000, 0.0000], [0.0000, 0.0000, 0.5000], [0.0000, 0.5000, 0.0000], [0.0000, 0.5000, 0.5000], [0.1250, 0.7500, 0.8750], [0.1250, 0.8750, 0.2500], [0.2500, 0.1250, 0.8750], [0.2500, 0.6250, 0.3750], [0.3750, 0.2500, 0.6250], [0.3750, 0.6250, 0.7500], [0.5000, 0.0000, 0.0000], [0.5000, 0.0000, 0.5000], [0.5000, 0.5000, 0.0000], [0.5000, 0.5000, 0.5000], [0.6250, 0.3750, 0.2500], [0.6250, 0.7500, 0.3750], [0.7500, 0.3750, 0.6250], [0.7500, 0.8750, 0.1250], [0.8750, 0.1250, 0.7500], [0.8750, 0.2500, 0.1250], [0.0359, 0.2117, 0.1242], [0.0359, 0.3242, 0.9116], [0.0875, 0.7117, 0.6758], [0.0875, 0.8758, 0.4116], [0.0884, 0.6242, 0.4125], [0.0884, 0.9641, 0.6758], [0.1242, 0.0359, 0.2117], [0.1242, 0.5884, 0.9125], [0.1758, 0.2117, 0.5875], [0.1758, 0.4641, 0.5884], [0.2117, 0.1242, 0.0359], [0.2117, 0.5875, 0.1758], [0.2883, 0.3242, 0.9125], [0.2883, 0.4641, 0.3758], [0.3242, 0.9116, 0.0359], [0.3242, 0.9125, 0.2883], [0.3758, 0.2883, 0.4641], [0.3758, 0.5875, 0.9116], [0.4116, 0.0875, 0.8758], [0.4116, 0.8242, 0.5359], [0.4125, 0.0884, 0.6242], [0.4125, 0.8242, 0.7883], [0.4641, 0.3758, 0.2883], [0.4641, 0.5884, 0.1758], [0.5359, 0.4116, 0.8242], [0.5359, 0.6242, 0.7117], [0.5875, 0.1758, 0.2117], [0.5875, 0.9116, 0.3758], [0.5884, 0.1758, 0.4641], [0.5884, 0.9125, 0.1242], [0.6242, 0.4125, 0.0884], [0.6242, 0.7117, 0.5359], [0.6758, 0.0875, 0.7117], [0.6758, 0.0884, 0.9641], [0.7117, 0.5359, 0.6242], [0.7117, 0.6758, 0.0875], [0.7883, 0.4125, 0.8242], [0.7883, 0.8758, 0.9641], [0.8242, 0.5359, 0.4116], [0.8242, 0.7883, 0.4125], [0.8758, 0.4116, 0.0875], [0.8758, 0.9641, 0.7883], [0.9116, 0.0359, 0.3242], [0.9116, 0.3758, 0.5875], [0.9125, 0.1242, 0.5884], [0.9125, 0.2883, 0.3242], [0.9641, 0.6758, 0.0884], [0.9641, 0.7883, 0.8758]]}